First-principles (PBE) data for a geometry-optimized PuThAg structure, as listed in Alexandria via LeMat-Bulk.

a = 6.334 Å, b = 6.334 Å, c = 6.334 Å
α = 145.82°, β = 145.82°, γ = 49.12°
Positions (direct):
Pu (0.000, 0.000, 0.000)
Th (0.314, 0.314, 0.000)
Ag (0.656, 0.656, 0.000)

Properties
Size of the total moment, Bohr magnetons per cell: 6.241
Calculated formation energy, eV per atom: 0.120
Relative energy among the computed polymorphs, meV per atom: 0.0
DOS at the Fermi energy, states/eV/cell: 9.112
SG: No. 107
Raw total energy, eV for the cell shown: -24.2